RbMnCu2Te4 | Alexandria via LeMat-Bulk | PBE | optimized geometry; final energy = -3.989 eV/atom; size of the total moment = 2.99 μB/f.u.
1.0
5.790 0.000 0.000
0.000 9.174 0.000
0.000 0.000 9.805
Rb Mn Cu Te
2 2 4 8
Direct
0.000 0.000 0.000
0.500 0.500 0.500
0.000 0.500 0.000
0.500 0.000 0.500
0.000 0.132 0.500
0.000 0.868 0.500
0.500 0.368 0.000
0.500 0.632 0.000
0.212 0.353 0.813
0.212 0.647 0.187
0.288 0.147 0.313
0.288 0.853 0.687
0.712 0.147 0.687
0.712 0.853 0.313
0.788 0.353 0.187
0.788 0.647 0.813



RbMnCuTe2 | Alexandria via LeMat-Bulk | PBE | optimized geometry; final energy = -4.485 eV/atom; size of the total moment = 5.00 μB/f.u.
1.0
8.321 0.000 0.000
0.000 6.470 0.000
-2.575 0.000 6.029
Rb Mn Cu Te
2 2 2 4
Direct
0.000 0.235 0.250
0.000 0.765 0.750
0.500 0.500 0.250
0.500 0.500 0.750
0.500 0.000 0.000
0.500 0.000 0.500
0.278 0.275 0.889
0.278 0.725 0.389
0.722 0.275 0.611
0.722 0.725 0.111



Question: What is the final energy in the second record?
Answer: -4.485 eV/atom



Question: What is the final energy in the second record?
Answer: -4.485 eV/atom



Copy entry 2 word for word.
RbMnCuTe2 | Alexandria via LeMat-Bulk | PBE | optimized geometry; final energy = -4.485 eV/atom; size of the total moment = 5.00 μB/f.u.
1.0
8.321 0.000 0.000
0.000 6.470 0.000
-2.575 0.000 6.029
Rb Mn Cu Te
2 2 2 4
Direct
0.000 0.235 0.250
0.000 0.765 0.750
0.500 0.500 0.250
0.500 0.500 0.750
0.500 0.000 0.000
0.500 0.000 0.500
0.278 0.275 0.889
0.278 0.725 0.389
0.722 0.275 0.611
0.722 0.725 0.111